First-principles (GGA-PBE) data for a relaxed Nd5Ru2Br2 crystal, as listed in Alexandria.

VASP energy = -5.736 eV per atom
Energy relative to the elements, uncorrected = -0.654 eV per atom
Total magnetic moment = 0.0 Bohr magnetons per cell

Cell: 8.033 8.031 9.057 Å, 116.32 90.00 90.00°
Positions (direct):
Nd  0.847  0.767  0.222
Nd  0.653  0.045  0.778
Nd  0.500  0.500  0.000
Nd  0.347  0.733  0.778
Nd  0.153  0.233  0.778
Nd  0.153  0.455  0.222
Nd  0.347  0.955  0.222
Nd  0.847  0.545  0.778
Nd  0.000  0.000  0.000
Nd  0.653  0.267  0.222
Ru  0.642  0.858  0.000
Ru  0.142  0.642  0.000
Ru  0.358  0.142  0.000
Ru  0.858  0.358  0.000
Br  0.500  0.286  0.572
Br  0.000  0.214  0.428
Br  0.500  0.714  0.428
Br  0.000  0.786  0.572



First-principles (GGA-PBE) data for a relaxed NaPdI crystal, as listed in Alexandria.

VASP energy = -3.143 eV per atom
Distance to the lowest polymorph of the same formula = 74.0 meV/atom
Energy relative to the elements, uncorrected = -0.456 eV per atom
Total magnetic moment = 0.0 Bohr magnetons per cell

Cell: 4.445 8.396 4.768 Å, 89.99 62.06 90.00°
Positions (direct):
Na  0.170  0.149  0.847
Na  0.169  0.649  0.849
I  0.854  0.899  0.480
I  0.485  0.399  0.216
Pd  0.544  0.899  0.105
Pd  0.795  0.399  0.591



First-principles (GGA-PBE) data for a relaxed Cd3TcPt12 crystal, as listed in Alexandria.

VASP energy = -5.526 eV per atom
Total magnetic moment = 0.0 Bohr magnetons per cell

Cell: 4.001 4.001 16.173 Å, 90.00 90.00 90.00°
Positions (direct):
Pt  0.000  0.500  0.117
Pt  0.500  0.500  0.500
Pt  0.500  0.000  0.117
Pt  0.000  0.500  0.627
Pt  0.500  0.500  0.246
Pt  0.500  0.500  0.754
Pt  0.000  0.500  0.883
Pt  0.500  0.500  0.000
Pt  0.500  0.000  0.373
Pt  0.000  0.500  0.373
Pt  0.500  0.000  0.883
Pt  0.500  0.000  0.627
Tc  0.000  0.000  0.000
Cd  0.000  0.000  0.753
Cd  0.000  0.000  0.247
Cd  0.000  0.000  0.500



First-principles (GGA-PBE) data for a relaxed BeCd2Br crystal, as listed in Alexandria.

VASP energy = -1.412 eV per atom
Distance to the lowest polymorph of the same formula = 322.2 meV/atom
Energy relative to the elements, uncorrected = 0.395 eV per atom
Total magnetic moment = 0.0 Bohr magnetons per cell

Cell: 5.946 5.196 3.741 Å, 81.12 68.95 116.29°
Positions (direct):
Br  0.500  0.500  0.000
Cd  0.000  0.000  0.000
Cd  0.500  0.000  0.500
Be  0.000  0.500  0.500



First-principles (GGA-PBE) data for a relaxed PrDy2Ru crystal, as listed in Alexandria.

VASP energy = -5.733 eV per atom
Distance to the lowest polymorph of the same formula = 347.7 meV/atom
Total magnetic moment = 0.0 Bohr magnetons per cell

Cell: 3.546 3.546 10.993 Å, 80.72 80.72 60.00°
Positions (direct):
Pr  0.000  0.000  0.000
Dy  0.891  0.891  0.327
Dy  0.109  0.109  0.673
Ru  0.500  0.500  0.500



First-principles (GGA-PBE) data for a relaxed Rb2UCl3O3 crystal, as listed in Alexandria.

VASP energy = -5.622 eV per atom
Energy relative to the elements, uncorrected = -1.884 eV per atom
Total magnetic moment = 0.9 Bohr magnetons per cell

Cell: 3.243 8.857 8.857 Å, 120.00 90.00 90.00°
Each line ends with the local moment (μB).
Positions (direct):
U  0.000  0.000  0.000  -0.06
O  0.500  0.000  0.840  0.05
O  0.500  0.160  0.160  0.05
O  0.500  0.840  0.000  0.05
Rb  0.500  0.333  0.667  0.00
Rb  0.500  0.667  0.333  0.00
Cl  0.000  0.374  0.000  0.21
Cl  0.000  0.000  0.374  0.21
Cl  0.000  0.626  0.626  0.21